# DyHoB2Ir2O2

Crystalline DyHoB2Ir2O2 at its relaxed geometry (GGA-PBE, OQMD via LeMat-Bulk).

Computed properties:
Electronic total energy   -0.2907 Ha/atom
Space-group type   No. 99

Cell lengths 3.823, 3.823, 7.195 Å; angles 90.00, 90.00, 90.00 degrees
Fractional coordinates of all 8 atoms:
1 Dy 0.000 0.000 0.000
2 Ho 0.500 0.500 0.371
3 B 0.000 0.000 0.530
4 B 0.500 0.500 0.840
5 Ir 0.000 0.500 0.685
6 Ir 0.500 0.000 0.685
7 O 0.000 0.000 0.319
8 O 0.500 0.500 0.053